DFT (PBE) results for a relaxed Tb2ThRh9 crystal.

Cell: 5.2776 5.2776 9.3388 Å, 73.59 73.59 60.00°
Sites, in units of the cell vectors:
Tb 0.8600 0.8600 0.4201
Tb 0.1400 0.1400 0.5799
Th 0.0000 0.0000 0.0000
Rh 0.6669 0.6669 0.9992
Rh 0.3331 0.3331 0.0008
Rh 0.5000 0.5000 0.5000
Rh 0.4164 0.4164 0.2496
Rh 0.9175 0.4164 0.2496
Rh 0.4164 0.9175 0.2496
Rh 0.5836 0.5836 0.7504
Rh 0.5836 0.0825 0.7504
Rh 0.0825 0.5836 0.7504

Results
**Calculated formation energy**: -0.6162 eV per atom
**DFT total energy**: -90.24 eV per cell

DFT (PBE) results for a relaxed CaTbAl crystal.

Cell: 3.5362 5.2114 5.2114 Å, 120.00 90.00 90.00°
Sites, in units of the cell vectors:
Ca 0.9565 0.0000 0.0000
Tb 0.3778 0.3333 0.6667
Al 0.6657 0.6667 0.3333

Results
**Calculated formation energy**: -0.0409 eV per atom
**DFT total energy**: -10.50 eV per cell

DFT (PBE) results for a relaxed DyGa12Ir6 crystal.

Cell: 7.2054 7.2054 7.2054 Å, 105.20 105.20 105.20°
Sites, in units of the cell vectors:
Dy 0.0000 0.0000 0.0000
Ga 0.8859 0.1141 0.5000
Ga 0.8716 0.5989 0.5989
Ga 0.5989 0.5989 0.8716
Ga 0.4011 0.1284 0.4011
Ga 0.4011 0.4011 0.1284
Ga 0.1284 0.4011 0.4011
Ga 0.1141 0.5000 0.8859
Ga 0.5000 0.8859 0.1141
Ga 0.1141 0.8859 0.5000
Ga 0.8859 0.5000 0.1141
Ga 0.5000 0.1141 0.8859
Ga 0.5989 0.8716 0.5989
Ir 0.6965 0.2756 0.2756
Ir 0.2756 0.2756 0.6965
Ir 0.2756 0.6965 0.2756
Ir 0.7244 0.7244 0.3035
Ir 0.3035 0.7244 0.7244
Ir 0.7244 0.3035 0.7244

Results
**Calculated formation energy**: -0.4011 eV per atom
**DFT total energy**: -101.71 eV per cell

DFT (PBE) results for a relaxed CaTmTh2Sb4 crystal.

Cell: 4.4824 7.7776 7.6772 Å, 109.60 90.00 90.00°
Sites, in units of the cell vectors:
Ca 0.5000 0.5000 0.0000
Tm 0.0000 0.0000 0.0000
Th 0.5000 0.0000 0.5000
Th 0.0000 0.5000 0.5000
Sb 0.5000 0.2438 0.2416
Sb 0.5000 0.7562 0.7584
Sb 0.0000 0.2474 0.7537
Sb 0.0000 0.7526 0.2463

Results
**Formation energy from raw total energies**: -0.991 eV/atom
**DFT total energy**: -45.73 eV per cell

DFT (PBE) results for a relaxed CdHgAs2 crystal.

Cell: 4.9796 4.9796 4.9796 Å, 60.00 60.00 60.00°
Sites, in units of the cell vectors:
As 0.2500 0.2500 0.2500
As 0.7500 0.7500 0.7500
Hg 0.5000 0.5000 0.5000
Cd 0.0000 0.0000 0.0000

Results
**Calculated formation energy**: 0.3949 eV per atom
**DFT total energy**: -8.94 eV per cell

DFT (PBE) results for a relaxed Ba2ReOsCl crystal.

Cell: 6.1498 4.6720 6.1498 Å, 90.00 90.00 90.00°
Each line ends with the local moment (μB).
Sites, in units of the cell vectors:
Re 0.0000 0.0000 0.0000  0.11
Os 0.0000 0.5000 0.0000  0.78
Ba 0.0000 0.0000 0.5000  0.01
Ba 0.5000 0.0000 0.0000  0.01
Cl 0.5000 0.5000 0.5000  0.01

Results
**Formation energy from raw total energies**: 0.304 eV/atom
**DFT total energy**: -27.85 eV per cell

DFT (PBE) results for a relaxed LiVCdN2 crystal.

Cell: 4.2825 5.0243 4.2825 Å, 90.00 90.00 90.00°
Each line ends with the local moment (μB).
Sites, in units of the cell vectors:
N 0.0000 0.0000 0.5000  0.56
N 0.5000 0.0000 0.0000  0.68
V 0.0000 0.5000 0.0000  -0.01
Li 0.5000 0.5000 0.5000  0.00
Cd 0.0000 0.0000 0.0000  -0.01

Results
**Formation energy from raw total energies**: 2.202 eV/atom
**DFT total energy**: -17.59 eV per cell

DFT (PBE) results for a relaxed Ca2ZnNi2 crystal.

Cell: 3.4544 3.4544 9.0496 Å, 79.00 79.00 90.00°
Each line ends with the local moment (μB).
Sites, in units of the cell vectors:
Ni 0.7500 0.2500 0.5000  0.23
Ni 0.2500 0.7500 0.5000  0.23
Zn 0.0000 0.0000 0.0000  0.01
Ca 0.3834 0.3834 0.2333  0.00
Ca 0.6166 0.6166 0.7667  0.00

Results
**Calculated formation energy**: 0.0333 eV per atom
**DFT total energy**: -16.67 eV per cell

Please write out number 6 again, unchanged.
DFT (PBE) results for a relaxed Ba2ReOsCl crystal.

Cell: 6.1498 4.6720 6.1498 Å, 90.00 90.00 90.00°
Each line ends with the local moment (μB).
Sites, in units of the cell vectors:
Re 0.0000 0.0000 0.0000  0.11
Os 0.0000 0.5000 0.0000  0.78
Ba 0.0000 0.0000 0.5000  0.01
Ba 0.5000 0.0000 0.0000  0.01
Cl 0.5000 0.5000 0.5000  0.01

Results
**Formation energy from raw total energies**: 0.304 eV/atom
**DFT total energy**: -27.85 eV per cell

Among the records above, which one has the highest DFT total energy? CdHgAs2

DFT total energy of number 8 (Ca2ZnNi2)? -16.67 eV per cell